Crystalline Li3MoO at its relaxed geometry. Source: Alexandria, functional PBE with a Hubbard U.

The value obtained for the energy above the most stable polymorph in this dataset is 0.0 kJ per mole of atoms.

It has space group Pm-3m (No. 221), with a = 4.151 Å, b = 4.151 Å, c = 4.151 Å, α = 90.00°, β = 90.00° and γ = 90.00°. The distinct sites, in fractional coordinates, are Li at (0.000, 0.000, 0.500), Mo at (0.500, 0.500, 0.500) and O at (0.000, 0.000, 0.000).